Entry 1:
A relaxed CaCdRh2 crystal, computed with PBE.

Results
* SG: R3m (160)

Cell lengths 9.5538, 9.5538, 9.5538 Å; angles 18.50, 18.50, 18.50 degrees
Closest atoms and distances in Å follow each position.
Positions (direct):
1 Ca 0.0000 0.0000 0.0000  3 Rh 2.86, 6 Ca 3.07
2 Cd 0.7681 0.7681 0.7681  3 Rh 2.87, 6 Cd 3.07
3 Rh 0.2537 0.2537 0.2537  3 Rh 2.69, 3 Ca 2.86
4 Rh 0.5150 0.5150 0.5150  3 Rh 2.69, 3 Cd 2.87


Entry 2:
A relaxed CaCd5Rh2 crystal, computed with PBE.

Results
* SG: Immm (71)

Cell lengths 6.6744, 6.6744, 6.6744 Å; angles 140.99, 102.18, 90.68 degrees
Closest atoms and distances in Å follow each position.
Positions (direct):
1 Ca 0.0000 0.0000 0.0000  4 Rh 3.01
2 Cd 0.1542 0.3331 0.8211  3 Rh 2.73-2.90, 3 Cd 2.97-3.00
3 Cd 0.4880 0.6669 0.8211  3 Rh 2.73-2.90, 3 Cd 2.97-3.00
4 Cd 0.5000 0.0000 0.5000  2 Rh 2.67
5 Cd 0.5120 0.3331 0.1789  3 Rh 2.73-2.90, 3 Cd 2.97-3.00
6 Cd 0.8458 0.6669 0.1789  3 Rh 2.73-2.90, 3 Cd 2.97-3.00
7 Rh 0.2157 0.7157 0.5000  7 Cd 2.67-2.90
8 Rh 0.7843 0.2843 0.5000  7 Cd 2.67-2.90


Entry 3:
A relaxed CaCdRh2 crystal, computed with PBE.

Results
* SG: Pmm2 (25)

Cell lengths 3.0005, 4.0609, 6.0990 Å; angles 90.00, 90.00, 90.00 degrees
Closest atoms and distances in Å follow each position.
Positions (direct):
1 Ca 0.0000 0.0000 0.0000  5 Rh 2.81-2.93, 2 Ca 3.00
2 Cd 0.5000 0.5000 0.3128  5 Rh 2.70-2.88, 2 Cd 3.00
3 Rh 0.0000 0.0000 0.5397  1 Ca 2.81, 6 Rh 2.84-3.00, 4 Cd 2.88
4 Rh 0.5000 0.5000 0.7547  1 Cd 2.70, 6 Rh 2.84-3.00, 4 Ca 2.93


Entry 4:
A relaxed Ca2Cd2Rh crystal, computed with PBE.

Results
* ΔE to the lowest computed polymorph: 0.0000 eV per atom
* SG: P-1 (2)

Cell lengths 4.0899, 5.9356, 11.4498 Å; angles 80.91, 79.77, 69.94 degrees
Closest atoms and distances in Å follow each position.
Positions (direct):
1 Ca 0.0037 0.1566 0.3349  2 Rh 3.00-3.01, 4 Cd 3.31-3.35
2 Ca 0.1986 0.2457 0.8576  2 Rh 2.93-2.94, 3 Cd 3.17-3.21
3 Ca 0.8014 0.7543 0.1424  2 Rh 2.93-2.94, 3 Cd 3.17-3.21
4 Ca 0.9963 0.8434 0.6651  2 Rh 3.00-3.01, 4 Cd 3.31-3.35
5 Cd 0.3291 0.2932 0.5487  3 Rh 2.77-2.91
6 Cd 0.4680 0.6742 0.8939  1 Rh 2.75, 1 Cd 2.92
7 Cd 0.5320 0.3258 0.1061  1 Rh 2.75, 1 Cd 2.92
8 Cd 0.6709 0.7068 0.4513  3 Rh 2.77-2.91
9 Rh 0.3172 0.5531 0.3113  4 Cd 2.75-2.91, 4 Ca 2.93-3.01
10 Rh 0.6828 0.4469 0.6887  4 Cd 2.75-2.91, 4 Ca 2.93-3.01


Number 1: formation energy 235.8 meV/atom. Number 2: formation energy -179.7 meV/atom. Number 3: formation energy -56.2 meV/atom. Number 4: formation energy -365.5 meV/atom.